VASP calculation (GGA-PBE) on a relaxed structure of Tb2Ho4Tl3H2.

Cell: 4.733 4.733 12.663 Å, 100.77 100.77 90.00°
Positions (direct):
Ho (0.584, 0.084, 0.168)
Ho (0.084, 0.584, 0.168)
Ho (0.416, 0.916, 0.832)
Tl (0.000, 0.000, 0.000)
Ho (0.916, 0.416, 0.832)
Tl (0.826, 0.826, 0.653)
Tl (0.174, 0.174, 0.347)
Tb (0.303, 0.303, 0.606)
Tb (0.697, 0.697, 0.394)
H (0.399, 0.399, 0.798)
H (0.601, 0.601, 0.202)

calculated volume = 24.87 Å³ per atom
symmetry = No. 139
E = -44.47 eV per cell